HPdI3: optimized geometry, PBE.

POSCAR file:
```
HPdI3
1.0
5.023 0.000 0.000
0.000 5.023 0.000
0.000 0.000 5.023
H Pd I
1 1 3
Cartesian
0.000 0.000 0.000
2.512 2.512 2.512
0.000 0.000 2.512
0.000 2.512 0.000
2.512 0.000 0.000
```

## Properties
Total magnetic moment = 0.0000 μB/atom
N(E_F) = 8.23 states/eV/f.u.
E = -8.59 eV for the cell shown
Energy relative to the lowest polymorph listed for this composition = 1032.9 meV/atom